{
  "formula": "KIrBr4",
  "functional": "PBE-GGA",
  "state": "optimized geometry",
  "crystal_system": "cubic",
  "sg": "F-43m, No. 216",
  "formation_energy_uncorrected_mev_per_atom": 791,
  "volume_a3_per_atom": 30.88,
  "cell": [[0.000, 4.525, 4.525], [4.525, 0.000, 4.525], [4.525, 4.525, 0.000]],
  "species": ["K", "Ir", "Br", "Br", "Br", "Br"],
  "frac_coords": [[0.000, 0.000, 0.000], [0.250, 0.250, 0.250], [0.131, 0.623, 0.623], [0.623, 0.131, 0.623], [0.623, 0.623, 0.131], [0.623, 0.623, 0.623]]
}